# InPbAu2

InPbAu2 after structural relaxation (PBE, the Alexandria database).

Results
Calculated density   12.8 g/cm³
Volume   23.16 Å³/atom
Space-group type   No. 44
N(E_F)   0.357 states/eV per atom
Energy of formation   -0.035 eV/atom

Unit cell a=6.1249 b=6.1249 c=6.1249 alpha=148.88 beta=128.06 gamma=61.80
With the nearest neighbours (Å) after each atom.
Fractional positions:
In  0.0000  0.0000  0.0000  6 Au 2.97-3.17, 2 In 3.29
Pb  0.2895  0.7895  0.5000  6 Au 3.11-3.16, 2 Pb 3.29, 4 In 3.46-3.48
Au  0.5409  0.5409  0.0000  2 Au 2.87, 2 Pb 3.11, 4 In 3.17
Au  0.7650  0.2650  0.5000  2 Au 2.87, 2 In 2.97, 4 Pb 3.16


# InPbAu2

InPbAu2 after structural relaxation (PBE, the Alexandria database).

Results
Calculated density   12.3 g/cm³
Volume   24.25 Å³/atom
Space-group type   No. 8
N(E_F)   0.300 states/eV per atom
Energy of formation   -0.071 eV/atom

Unit cell a=4.8635 b=4.8635 c=5.9564 alpha=103.79 beta=103.79 gamma=45.44
With the nearest neighbours (Å) after each atom.
Fractional positions:
In  0.0000  0.0000  0.0000  5 Au 2.82-3.04
Pb  0.7753  0.7753  0.3608  3 Au 2.99-3.00, 1 In 3.30
Au  0.2627  0.2627  0.8223  3 In 2.82-2.83, 3 Au 2.89-2.94
Au  0.5234  0.5234  0.6090  3 Au 2.89-2.94, 3 Pb 2.99-3.00, 2 In 3.04


# In2PbAu6

In2PbAu6 after structural relaxation (PBE, the Alexandria database).

Results
Calculated density   13.8 g/cm³
Volume   21.65 Å³/atom
Space-group type   No. 71
N(E_F)   0.347 states/eV per atom
Energy of formation   -0.069 eV/atom
Energy relative to the lowest polymorph listed for this composition   3.72 kJ per mole of atoms

Unit cell a=8.3382 b=8.3382 c=8.3382 alpha=156.52 beta=121.89 gamma=63.55
With the nearest neighbours (Å) after each atom.
Fractional positions:
In  0.1474  0.1474  0.0000  10 Au 2.87-3.15
In  0.8526  0.8526  0.0000  10 Au 2.87-3.15
Pb  0.5000  0.0000  0.5000  12 Au 3.15-3.35, 2 Pb 3.39
Au  0.1466  0.3228  0.8238  4 Au 2.80-2.93, 1 In 2.87
Au  0.1724  0.5000  0.6724  3 Au 2.79-2.80, 4 In 3.03
Au  0.4989  0.3228  0.1762  4 Au 2.80-2.93, 1 In 2.87
Au  0.5011  0.6772  0.8238  4 Au 2.80-2.93, 1 In 2.87
Au  0.8276  0.5000  0.3276  3 Au 2.79-2.80, 4 In 3.03
Au  0.8534  0.6772  0.1762  4 Au 2.80-2.93, 1 In 2.87


# In2PbAu2

In2PbAu2 after structural relaxation (PBE, the Alexandria database).

Results
Calculated density   10.8 g/cm³
Volume   25.62 Å³/atom
Space-group type   No. 139
N(E_F)   0.391 states/eV per atom
Energy of formation   -0.030 eV/atom

Unit cell a=6.5389 b=6.5389 c=6.5389 alpha=137.08 beta=137.08 gamma=62.32
With the nearest neighbours (Å) after each atom.
Fractional positions:
In  0.1258  0.1258  0.0000  4 Au 2.77, 1 In 2.82
In  0.8742  0.8742  0.0000  4 Au 2.77, 1 In 2.82
Pb  0.5000  0.5000  0.0000  8 In 3.66, 8 Au 3.68
Au  0.2500  0.7500  0.5000  4 In 2.77
Au  0.7500  0.2500  0.5000  4 In 2.77


# InPbAu2

InPbAu2 after structural relaxation (PBE, the Alexandria database).

Results
Calculated density   12.8 g/cm³
Volume   23.27 Å³/atom
Space-group type   No. 11
N(E_F)   0.505 states/eV per atom
Energy of formation   -0.166 eV/atom

Unit cell a=5.7515 b=4.4927 c=7.6187 alpha=90.00 beta=108.97 gamma=90.00
With the nearest neighbours (Å) after each atom.
Fractional positions:
In  0.1896  0.2500  0.4144  7 Au 2.82-3.14
In  0.8104  0.7500  0.5856  7 Au 2.82-3.14
Pb  0.2228  0.2500  0.9308  7 Au 3.04-3.32
Pb  0.7772  0.7500  0.0692  7 Au 3.04-3.32
Au  0.3244  0.7500  0.6664  4 In 2.82-3.05, 2 Au 2.91
Au  0.3353  0.7500  0.2346  3 In 2.89-3.14, 2 Au 2.91, 4 Pb 3.04-3.18
Au  0.6647  0.2500  0.7654  3 In 2.89-3.14, 2 Au 2.91, 4 Pb 3.04-3.18
Au  0.6756  0.2500  0.3336  4 In 2.82-3.05, 2 Au 2.91


# In2Pb2Au

In2Pb2Au after structural relaxation (PBE, the Alexandria database).

Results
Calculated density   10.1 g/cm³
Volume   27.65 Å³/atom
Space-group type   No. 127
N(E_F)   0.779 states/eV per atom
Energy of formation   -0.001 eV/atom
Energy relative to the lowest polymorph listed for this composition   0.00 kJ per mole of atoms

Unit cell a=7.2675 b=7.2675 c=5.2347 alpha=90.00 beta=90.00 gamma=90.00
With the nearest neighbours (Å) after each atom.
Fractional positions:
In  0.1448  0.3552  0.0000  2 Au 2.79, 1 In 2.98
In  0.3552  0.8552  0.0000  2 Au 2.79, 1 In 2.98
In  0.6448  0.1448  0.0000  2 Au 2.79, 1 In 2.98
In  0.8552  0.6448  0.0000  2 Au 2.79, 1 In 2.98
Pb  0.1681  0.6681  0.5000  6 In 3.25-3.47, 1 Pb 3.45
Pb  0.3319  0.1681  0.5000  6 In 3.25-3.47, 1 Pb 3.45
Pb  0.6681  0.8319  0.5000  6 In 3.25-3.47, 1 Pb 3.45
Pb  0.8319  0.3319  0.5000  6 In 3.25-3.47, 1 Pb 3.45
Au  0.0000  0.0000  0.0000  4 In 2.79
Au  0.5000  0.5000  0.0000  4 In 2.79


# InPbAu2

InPbAu2 after structural relaxation (PBE, the Alexandria database).

Results
Calculated density   13.0 g/cm³
Volume   22.92 Å³/atom
Space-group type   No. 216
N(E_F)   0.268 states/eV per atom
Energy of formation   0.060 eV/atom

Unit cell a=5.0610 b=5.0610 c=5.0610 alpha=60.00 beta=60.00 gamma=60.00
With the nearest neighbours (Å) after each atom.
Fractional positions:
In  0.0000  0.0000  0.0000  4 Au 3.10, 4 Pb 3.10
Pb  0.2500  0.2500  0.2500  4 Au 3.10, 4 In 3.10
Au  0.5000  0.5000  0.5000  4 Au 3.10, 4 Pb 3.10
Au  0.7500  0.7500  0.7500  4 In 3.10, 4 Au 3.10


# InPb2Au5

InPb2Au5 after structural relaxation (PBE, the Alexandria database).

Results
Calculated density   14.2 g/cm³
Volume   22.21 Å³/atom
Space-group type   No. 8
N(E_F)   0.388 states/eV per atom
Energy of formation   -0.086 eV/atom

Unit cell a=5.8046 b=5.8046 c=5.8066 alpha=101.48 beta=101.48 gamma=105.83
With the nearest neighbours (Å) after each atom.
Fractional positions:
In  0.0000  0.0000  0.0000  8 Au 2.87-3.10
Pb  0.0265  0.4156  0.5759  6 Au 2.97-3.19
Pb  0.4156  0.0265  0.5759  6 Au 2.97-3.19
Au  0.4346  0.4346  0.1427  1 In 2.88, 7 Au 2.90-3.09
Au  0.4796  0.9357  0.0734  2 In 2.87-3.07, 4 Au 2.92-2.96, 2 Pb 2.98-3.01
Au  0.5789  0.5789  0.7061  1 In 2.88, 5 Au 2.90-3.09, 4 Pb 2.97-3.17
Au  0.8605  0.8605  0.4352  4 Au 2.90-2.92, 4 Pb 2.99-3.19, 2 In 2.99-3.10
Au  0.9357  0.4796  0.0734  2 In 2.87-3.07, 4 Au 2.92-2.96, 2 Pb 2.98-3.01


# In3Pb12Au

In3Pb12Au after structural relaxation (PBE, the Alexandria database).

Results
Calculated density   10.5 g/cm³
Volume   29.79 Å³/atom
Space-group type   No. 123
N(E_F)   0.394 states/eV per atom
Energy of formation   0.012 eV/atom

Unit cell a=4.8325 b=4.8325 c=20.4103 alpha=90.00 beta=90.00 gamma=90.00
With the nearest neighbours (Å) after each atom.
Fractional positions:
In  0.0000  0.0000  0.0000  12 Pb 3.42-3.56
In  0.0000  0.0000  0.2549  12 Pb 3.42-3.57
In  0.0000  0.0000  0.7451  12 Pb 3.42-3.57
Pb  0.0000  0.5000  0.1284  8 Pb 3.42-3.56, 4 In 3.54-3.56
Pb  0.0000  0.5000  0.3836  8 Pb 3.39-3.56, 2 Au 3.39, 2 In 3.57
Pb  0.0000  0.5000  0.6164  8 Pb 3.39-3.56, 2 Au 3.39, 2 In 3.57
Pb  0.0000  0.5000  0.8716  8 Pb 3.42-3.56, 4 In 3.54-3.56
Pb  0.5000  0.0000  0.1284  8 Pb 3.42-3.56, 4 In 3.54-3.56
Pb  0.5000  0.0000  0.3836  8 Pb 3.39-3.56, 2 Au 3.39, 2 In 3.57
Pb  0.5000  0.0000  0.6164  8 Pb 3.39-3.56, 2 Au 3.39, 2 In 3.57
Pb  0.5000  0.0000  0.8716  8 Pb 3.42-3.56, 4 In 3.54-3.56
Pb  0.5000  0.5000  0.0000  4 In 3.42, 8 Pb 3.56
Pb  0.5000  0.5000  0.2557  4 In 3.42, 8 Pb 3.55-3.56
Pb  0.5000  0.5000  0.5000  8 Pb 3.39, 4 Au 3.42
Pb  0.5000  0.5000  0.7443  4 In 3.42, 8 Pb 3.55-3.56
Au  0.0000  0.0000  0.5000  12 Pb 3.39-3.42


# InPb7Au3

InPb7Au3 after structural relaxation (PBE, the Alexandria database).

Results
Calculated density   11.3 g/cm³
Volume   28.69 Å³/atom
Space-group type   No. 8
N(E_F)   0.448 states/eV per atom
Energy of formation   -0.029 eV/atom

Unit cell a=7.4488 b=7.4488 c=9.2115 alpha=127.18 beta=127.18 gamma=59.14
With the nearest neighbours (Å) after each atom.
Fractional positions:
In  0.0000  0.0000  0.0000  3 Au 2.90, 2 Pb 3.22
Pb  0.0387  0.5154  0.1000  2 Au 2.90-2.94
Pb  0.4737  0.9627  0.6732  2 Au 2.95-3.02, 1 In 3.22
Pb  0.5027  0.5027  0.7036  2 Au 3.03
Pb  0.5154  0.0387  0.1000  2 Au 2.90-2.94
Pb  0.5207  0.5207  0.1007  2 Au 2.97
Pb  0.9389  0.9389  0.5829  3 Au 2.95-3.09
Pb  0.9627  0.4737  0.6732  2 Au 2.95-3.02, 1 In 3.22
Au  0.0094  0.0094  0.3239  5 Pb 2.90-3.09, 1 In 2.90, 2 Au 2.97
Au  0.0252  0.4290  0.3652  1 In 2.90, 5 Pb 2.94-3.03, 2 Au 2.97
Au  0.4290  0.0252  0.3652  1 In 2.90, 5 Pb 2.94-3.03, 2 Au 2.97


# InPbAu

InPbAu after structural relaxation (PBE, the Alexandria database).

Results
Calculated density   11.5 g/cm³
Volume   24.98 Å³/atom
Space-group type   No. 62
N(E_F)   0.425 states/eV per atom
Energy of formation   -0.058 eV/atom

Unit cell a=5.7451 b=6.5307 c=7.9879 alpha=90.00 beta=90.00 gamma=90.00
With the nearest neighbours (Å) after each atom.
Fractional positions:
In  0.0000  0.0000  0.0000  4 Au 2.95, 2 In 3.27
In  0.0000  0.5000  0.0000  4 Au 2.95, 2 In 3.27
In  0.5000  0.0000  0.5000  4 Au 2.95, 2 In 3.27
In  0.5000  0.5000  0.5000  4 Au 2.95, 2 In 3.27
Pb  0.0020  0.2500  0.3851  2 Au 3.23-3.27, 6 In 3.42-3.48, 2 Pb 3.59
Pb  0.4980  0.7500  0.8851  2 Au 3.23-3.27, 6 In 3.42-3.48, 2 Pb 3.59
Pb  0.5020  0.2500  0.1149  2 Au 3.23-3.27, 6 In 3.42-3.48, 2 Pb 3.59
Pb  0.9980  0.7500  0.6149  2 Au 3.23-3.27, 6 In 3.42-3.48, 2 Pb 3.59
Au  0.2468  0.7500  0.2518  2 Au 2.87, 4 In 2.95
Au  0.2532  0.2500  0.7518  2 Au 2.87, 4 In 2.95
Au  0.7468  0.7500  0.2482  2 Au 2.87, 4 In 2.95
Au  0.7532  0.2500  0.7482  2 Au 2.87, 4 In 2.95


# InPbAu

InPbAu after structural relaxation (PBE, the Alexandria database).

Results
Calculated density   10.7 g/cm³
Volume   26.78 Å³/atom
Space-group type   No. 62
N(E_F)   0.437 states/eV per atom
Energy of formation   -0.052 eV/atom

Unit cell a=10.8916 b=4.3196 c=6.8314 alpha=90.00 beta=90.00 gamma=90.00
With the nearest neighbours (Å) after each atom.
Fractional positions:
In  0.0060  0.2500  0.1722  3 Au 2.91, 2 In 3.20, 1 Pb 3.24
In  0.4940  0.7500  0.6722  3 Au 2.91, 2 In 3.20, 1 Pb 3.24
In  0.5060  0.2500  0.3278  3 Au 2.91, 2 In 3.20, 1 Pb 3.24
In  0.9940  0.7500  0.8278  3 Au 2.91, 2 In 3.20, 1 Pb 3.24
Pb  0.2421  0.7500  0.4195  3 Au 2.98-3.01, 1 In 3.24
Pb  0.2579  0.2500  0.9195  3 Au 2.98-3.01, 1 In 3.24
Pb  0.7421  0.7500  0.0805  3 Au 2.98-3.01, 1 In 3.24
Pb  0.7579  0.2500  0.5805  3 Au 2.98-3.01, 1 In 3.24
Au  0.0823  0.2500  0.5798  3 In 2.91, 3 Pb 2.98-3.01, 2 Au 3.01
Au  0.4177  0.7500  0.0798  3 In 2.91, 3 Pb 2.98-3.01, 2 Au 3.01
Au  0.5823  0.2500  0.9202  3 In 2.91, 3 Pb 2.98-3.01, 2 Au 3.01
Au  0.9177  0.7500  0.4202  3 In 2.91, 3 Pb 2.98-3.01, 2 Au 3.01


# In2PbAu2

In2PbAu2 after structural relaxation (PBE, the Alexandria database).

Results
Calculated density   11.3 g/cm³
Volume   24.47 Å³/atom
Space-group type   No. 2
N(E_F)   0.332 states/eV per atom
Energy of formation   -0.147 eV/atom

Unit cell a=4.0802 b=7.3845 c=8.4480 alpha=92.53 beta=90.21 gamma=105.80
With the nearest neighbours (Å) after each atom.
Fractional positions:
In  0.0468  0.0947  0.1851  4 Au 2.78-3.10
In  0.4030  0.8114  0.4199  4 Au 2.83-3.06, 1 In 2.95
In  0.5970  0.1886  0.5801  4 Au 2.83-3.06, 1 In 2.95
In  0.9532  0.9053  0.8149  4 Au 2.78-3.10
Pb  0.2395  0.4790  0.8252  5 Au 3.08-3.17
Pb  0.7605  0.5210  0.1748  5 Au 3.08-3.17
Au  0.1907  0.3804  0.4209  4 In 2.78-3.06, 2 Au 2.94, 1 Pb 3.10
Au  0.4095  0.8216  0.0801  5 In 2.87-3.12, 1 Au 2.93, 3 Pb 3.08-3.17
Au  0.5905  0.1784  0.9199  5 In 2.87-3.12, 1 Au 2.93, 3 Pb 3.08-3.17
Au  0.8093  0.6196  0.5791  4 In 2.78-3.06, 2 Au 2.94, 1 Pb 3.10